Here is an optimized crystal structure of ZrTlSbI2 from Alexandria. Energies are from PBE.

POSCAR file:
```
ZrTlSbI2
1.0
5.8234 0.0000 0.0000
0.0000 5.8234 0.0000
0.0000 0.0000 5.6638
Zr Tl Sb I
1 1 1 2
direct
0.0000 0.0000 0.0000
0.5000 0.5000 0.5000
0.0000 0.0000 0.5000
0.0000 0.5000 0.0000
0.5000 0.0000 0.0000
```

Output
- energy above the most stable polymorph in this dataset (eV per atom) = 0.000
- SG = No. 123
- density of states at the Fermi level (states/eV/atom) = 0.704
- uncorrected energy (eV/cell) = -19.52
- magnetic moment (μB per formula unit) = 0.000
- ρ (g/cm3) = 5.8



Here is an optimized crystal structure of Tm2SbI2 from Alexandria. Energies are from PBE.

POSCAR file:
```
Tm2SbI2
1.0
2.1472 1.2397 11.3119
-2.1472 1.2397 11.3119
0.0000 -2.4794 11.3119
Tm Sb I
2 1 2
direct
0.1179 0.1179 0.1179
0.8821 0.8821 0.8821
0.5000 0.5000 0.5000
0.2721 0.2721 0.2721
0.7279 0.7279 0.7279
```

Output
- SG = No. 166
- density of states at the Fermi level (states/eV/atom) = 0.353
- uncorrected energy (eV/cell) = -22.12
- magnetic moment (μB per formula unit) = 0.000
- ρ (g/cm3) = 6.6



Here is an optimized crystal structure of TmSbI from Alexandria. Energies are from PBE.

POSCAR file:
```
TmSbI
1.0
11.5127 -2.3203 0.0000
11.5127 2.3203 0.0000
-0.6451 0.0000 8.7225
Tm Sb I
4 4 4
direct
0.1591 0.1591 0.0918
0.1605 0.1605 0.6172
0.8395 0.8395 0.3828
0.8409 0.8409 0.9082
0.2498 0.2498 0.3760
0.2563 0.2563 0.8733
0.7437 0.7437 0.1267
0.7502 0.7502 0.6240
0.0715 0.0715 0.3382
0.4025 0.4025 0.1607
0.5975 0.5975 0.8393
0.9285 0.9285 0.6618
```

Output
- energy above the most stable polymorph in this dataset (eV per atom) = 0.000
- SG = No. 12
- density of states at the Fermi level (states/eV/atom) = 0.330
- uncorrected energy (eV/cell) = -50.10
- magnetic moment (μB per formula unit) = 0.000
- ρ (g/cm3) = 6.0



Here is an optimized crystal structure of TmSbI from Alexandria. Energies are from PBE.

POSCAR file:
```
TmSbI
1.0
5.2417 0.0000 0.0000
-2.6208 4.5394 0.0000
0.0000 0.0000 3.6547
Tm Sb I
1 1 1
direct
0.0000 0.0000 0.0000
0.6667 0.3333 0.5000
0.3333 0.6667 0.0000
```

Output
- energy above the most stable polymorph in this dataset (eV per atom) = 0.282
- SG = No. 187
- density of states at the Fermi level (states/eV/atom) = 0.884
- uncorrected energy (eV/cell) = -11.68
- magnetic moment (μB per formula unit) = 0.000
- ρ (g/cm3) = 8.0



Here is an optimized crystal structure of V3SbI from Alexandria. Energies are from PBE.

POSCAR file:
```
V3SbI
1.0
5.2501 0.0000 0.0000
0.0000 5.2501 0.0000
0.0000 0.0000 5.2501
V Sb I
3 1 1
direct
0.0000 0.0000 0.5000
0.0000 0.5000 0.0000
0.5000 0.0000 0.0000
0.0000 0.0000 0.0000
0.5000 0.5000 0.5000
```

Output
- energy above the most stable polymorph in this dataset (eV per atom) = 0.000
- SG = No. 221
- density of states at the Fermi level (states/eV/atom) = 2.263
- uncorrected energy (eV/cell) = -27.50
- magnetic moment (μB per formula unit) = 10.995
- ρ (g/cm3) = 4.6



Here is an optimized crystal structure of V2SbI from Alexandria. Energies are from PBE.

POSCAR file:
```
V2SbI
1.0
-3.1076 3.1076 6.4236
3.1076 -3.1076 6.4236
3.1076 3.1076 -6.4236
V Sb I
4 2 2
direct
0.1110 0.6250 0.9860
0.3750 0.3610 0.4860
0.6390 0.1250 0.0140
0.8750 0.8890 0.5140
0.0000 0.0000 0.0000
0.7500 0.2500 0.5000
0.2500 0.7500 0.5000
0.5000 0.5000 0.0000
```

Output
- energy above the most stable polymorph in this dataset (eV per atom) = 0.038
- SG = No. 122
- density of states at the Fermi level (states/eV/atom) = 0.844
- uncorrected energy (eV/cell) = -43.72
- magnetic moment (μB per formula unit) = 6.001
- ρ (g/cm3) = 4.7